VASP calculation (PBE+U) on an optimized crystal structure of PrCr2GaO8.

Results
As for the magnetic moment: 2.00 μB per formula unit. As for the density of states at the Fermi level: 0.678 states/eV per atom. The symmetry is P-3m1. For the mass density, the calculation gives 4.25 g/cm³. The total energy is -6.942 eV per atom. As for the volume: 172.8 Å³ per cell.

Unit cell a=5.4945 b=5.4945 c=6.6074 alpha=90.00 beta=90.00 gamma=120.00
Positions (direct):
1 Pr 0.0000 0.0000 0.0000
2 Cr 0.3333 0.6667 0.2342
3 Cr 0.6667 0.3333 0.7658
4 Ga 0.0000 0.0000 0.5000
5 O 0.1567 0.3134 0.3034
6 O 0.1567 0.8433 0.3034
7 O 0.3134 0.1567 0.6966
8 O 0.3333 0.6667 0.9807
9 O 0.6667 0.3333 0.0193
10 O 0.6866 0.8433 0.3034
11 O 0.8433 0.1567 0.6966
12 O 0.8433 0.6866 0.6966